(1)
Below is a geometry-optimized LiAs2 structure, with properties calculated at the PBE-GGA level.

a = 4.242 Å, b = 4.242 Å, c = 3.016 Å
α = 90.00°, β = 90.00°, γ = 90.00°
Element x y z (fractional)
As  0.000  0.500  0.500
As  0.500  0.000  0.500
Li  0.000  0.000  0.000

The calculation puts the uncorrected energy at -11.50 eV for the cell shown. Its energy of formation is -0.10 eV per atom.

---

(2)
Below is a geometry-optimized Li7As structure, with properties calculated at the PBE-GGA level.

a = 5.790 Å, b = 5.790 Å, c = 5.790 Å
α = 60.00°, β = 60.00°, γ = 60.00°
Element x y z (fractional)
Li  0.000  0.500  0.000
Li  0.500  0.500  0.500
Li  0.000  0.000  0.500
Li  0.000  0.500  0.500
Li  0.500  0.500  0.000
Li  0.500  0.000  0.000
Li  0.500  0.000  0.500
As  0.000  0.000  0.000

The calculation puts the uncorrected energy at -19.41 eV for the cell shown. Its energy of formation is -0.17 eV per atom.

---

(3)
Below is a geometry-optimized LiAs structure, with properties calculated at the PBE-GGA level.

a = 4.095 Å, b = 4.095 Å, c = 5.280 Å
α = 90.00°, β = 90.00°, γ = 120.00°
Element x y z (fractional)
Li  0.333  0.667  0.250
Li  0.667  0.333  0.750
As  0.000  0.000  0.500
As  0.000  0.000  0.000

The calculation puts the uncorrected energy at -14.49 eV for the cell shown. Its energy of formation is -0.34 eV per atom.

---

(4)
Below is a geometry-optimized Li4As structure, with properties calculated at the PBE-GGA level.

a = 4.853 Å, b = 4.853 Å, c = 4.853 Å
α = 90.00°, β = 90.00°, γ = 90.00°
Element x y z (fractional)
Li  0.500  0.000  0.500
Li  0.000  0.500  0.500
Li  0.500  0.500  0.000
Li  0.000  0.000  0.000
As  0.500  0.500  0.500

Its energy above the most stable polymorph in this dataset is 163.7 meV per atom. The calculation puts the uncorrected energy at -13.77 eV for the cell shown. Its energy of formation is -0.29 eV per atom.

---

(5)
Below is a geometry-optimized LiAs2 structure, with properties calculated at the PBE-GGA level.

a = 4.930 Å, b = 3.604 Å, c = 7.080 Å
α = 90.00°, β = 90.00°, γ = 90.00°
Element x y z (fractional)
As  0.500  0.252  0.117
As  0.000  0.752  0.383
As  0.500  0.748  0.883
As  0.000  0.248  0.617
Li  0.000  0.000  0.000
Li  0.500  0.500  0.500

The calculation puts the uncorrected energy at -23.91 eV for the cell shown. Its energy of formation is -0.25 eV per atom.

---

(6)
Below is a geometry-optimized LiAs2 structure, with properties calculated at the PBE-GGA level.

a = 7.229 Å, b = 7.229 Å, c = 5.161 Å
α = 90.00°, β = 90.00°, γ = 150.77°
Element x y z (fractional)
Li  0.704  0.296  0.000
Li  0.074  0.926  0.500
As  0.420  0.580  0.000
As  0.040  0.960  0.000
As  0.358  0.642  0.500
As  0.737  0.263  0.500

The calculation puts the uncorrected energy at -23.91 eV for the cell shown. Its energy of formation is -0.25 eV per atom.